1.
Fe6Sn PBE-GGA optimized geometry; calculated total energy = -6.816 eV per atom; magnetization = 0.000 μB per atom; space-group type = Im-3m, No. 229; crystal system = cubic; energy of formation from the pure elements = 1.010 eV/atom
1.0
-4.306 -1.890 2.184
3.424 -3.835 -0.672
2.052 3.628 3.083
Fe Sn
6 1
direct
0.500 0.750 0.250
0.250 0.750 0.500
0.750 0.250 0.500
0.750 0.500 0.250
0.250 0.500 0.750
0.500 0.250 0.750
0.000 0.000 0.000

2.
Li6PrGa2 PBE-GGA optimized geometry; calculated total energy = -2.682 eV per atom; magnetization = 0.000 μB per atom; space-group type = P4/mmm, No. 123; crystal system = tetragonal; energy of formation from the pure elements = -0.202 eV/atom
1.0
-1.355 -2.621 -3.141
3.963 -1.662 -0.322
-2.338 -6.881 6.750
Ga Li Pr
2 6 1
direct
0.500 0.500 0.874
0.500 0.500 0.126
0.000 0.000 0.500
0.500 0.000 0.713
0.500 0.000 0.287
0.500 0.500 0.500
0.000 0.500 0.713
0.000 0.500 0.287
0.000 0.000 0.000

3.
Li2H6PdRh PBE-GGA optimized geometry; calculated total energy = -3.969 eV per atom; magnetization = 0.000 μB per atom; space-group type = Cm, No. 8; crystal system = monoclinic
1.0
4.904 -0.011 -0.020
-0.011 4.904 -0.021
-2.461 -2.460 3.441
H Pd Li Rh
6 1 2 1
direct
0.755 0.755 0.505
0.245 0.755 0.000
0.242 0.242 0.992
0.755 0.246 0.000
0.244 0.244 0.494
0.757 0.758 0.007
0.500 0.500 0.000
0.750 0.250 0.500
0.250 0.751 0.500
0.000 0.000 0.000

4.
BaGa4Sn PBE-GGA optimized geometry; calculated total energy = -3.154 eV per atom; polymorph energy (0 for the lowest one) = 134.0 meV/atom; magnetization = 0.000 μB per atom; space-group type = F-43m, No. 216; crystal system = cubic; energy of formation from the pure elements = -0.148 eV/atom
1.0
5.929 0.000 0.000
2.965 5.135 0.000
2.965 1.712 4.841
Ba Ga Sn
1 4 1
direct
0.250 0.250 0.250
0.121 0.626 0.626
0.626 0.626 0.626
0.626 0.121 0.626
0.626 0.626 0.121
0.000 0.000 0.000

5.
Ta3PPb PBE-GGA optimized geometry; calculated total energy = -8.462 eV per atom; polymorph energy (0 for the lowest one) = 0.0 meV/atom; magnetization = 0.000 μB per atom; space-group type = Pm-3m, No. 221; crystal system = cubic; energy of formation from the pure elements = 0.473 eV/atom
1.0
-0.604 -4.402 1.426
-0.477 -1.371 -4.435
4.603 -0.720 -0.272
P Ta Pb
1 3 1
direct
0.000 0.000 0.000
0.500 0.000 0.000
0.000 0.500 0.000
0.000 0.000 0.500
0.500 0.500 0.500

6.
In2FeP PBE-GGA optimized geometry; calculated total energy = -4.815 eV per atom; magnetization = 0.298 μB per atom; space-group type = P4mm, No. 99; crystal system = tetragonal; energy of formation from the pure elements = 0.023 eV/atom
1.0
-2.919 -0.745 -0.242
0.617 -1.611 -2.482
1.315 -6.656 4.645
In Fe P
2 1 1
direct
0.000 0.000 0.938
0.500 0.500 0.293
0.500 0.500 0.689
0.000 0.000 0.581

7.
AcNpBO6 PBE-GGA optimized geometry; calculated total energy = -8.819 eV per atom; energy relative to the elements, uncorrected = -2.88 eV per atom; magnetization = 0.111 μB per atom; space-group type = P1, No. 1; crystal system = triclinic
1.0
-4.154 -3.319 -2.902
0.786 -0.993 -4.770
2.498 -4.234 0.493
Ac O B Np
1 6 1 1
direct
0.938 0.992 0.052
0.086 0.750 0.609
0.613 0.888 0.392
0.954 0.424 0.294
0.388 0.521 0.177
0.282 0.131 0.853
0.667 0.394 0.651
0.739 0.568 0.453
0.332 0.332 0.518

8.
YHf2Sc3N6 PBE-GGA optimized geometry; calculated total energy = -9.804 eV per atom; energy relative to the elements, uncorrected = -1.86 eV per atom; magnetization = 0.000 μB per atom; space-group type = C2/m, No. 12; crystal system = monoclinic
1.0
-1.626 -2.447 -1.379
5.162 -3.868 0.777
-2.804 0.254 6.674
Hf N Sc Y
2 6 3 1
direct
0.833 0.665 0.666
0.167 0.335 0.334
0.328 0.906 0.656
0.669 0.580 0.338
0.331 0.420 0.662
0.996 0.735 0.992
0.004 0.265 0.008
0.672 0.094 0.344
0.833 0.167 0.666
0.167 0.833 0.334
0.500 0.500 0.000
0.500 0.000 0.000